! meta-GGA SCAN TaBiS2Cl, PBEsol geometry; values from VASP
! **Energy**: -173.720 eV per cell
! **Total moment**: 0.00 μB/f.u.
&SYSTEM
  ibrav = 0, nat = 5, ntyp = 4
/
ATOMIC_SPECIES
S 32.06 S.upf
Bi 208.98 Bi.upf
Cl 35.45 Cl.upf
Ta 180.95 Ta.upf
CELL_PARAMETERS angstrom
4.740 0.000 0.000
0.000 4.783 0.000
0.000 0.000 4.783
ATOMIC_POSITIONS angstrom
S 0.000 0.000 2.392
S 0.000 2.392 0.000
Bi 2.370 2.392 2.392
Cl 2.370 0.000 0.000
Ta 0.000 0.000 0.000